#1
Material: HfBeZnNi
Method: DFT, PBE
State: optimized geometry

```
data_HfBeZnNi
_chemical_formula_sum 'Hf1 Be1 Zn1 Ni1'
_space_group_name_H-M_alt 'P 1'
_space_group_IT_number 1
_cell_length_a 4.231
_cell_length_b 4.231
_cell_length_c 4.231
_cell_angle_alpha 60.00
_cell_angle_beta 60.00
_cell_angle_gamma 60.00
loop_
_space_group_symop_operation_xyz
'x,y,z'
loop_
_atom_site_label
_atom_site_type_symbol
_atom_site_fract_x
_atom_site_fract_y
_atom_site_fract_z
Hf1 Hf 0.000 0.000 0.000
Be1 Be 0.250 0.250 0.250
Zn1 Zn 0.750 0.750 0.750
Ni1 Ni 0.500 0.500 0.500
```

Summary:
V   13.39 Å³/atom


#2
Material: HfBeZnNi
Method: DFT, PBE
State: optimized geometry

```
data_HfBeZnNi
_chemical_formula_sum 'Hf1 Be1 Zn1 Ni1'
_space_group_name_H-M_alt 'P 1'
_space_group_IT_number 1
_cell_length_a 4.228
_cell_length_b 4.228
_cell_length_c 4.228
_cell_angle_alpha 60.00
_cell_angle_beta 60.00
_cell_angle_gamma 60.00
loop_
_space_group_symop_operation_xyz
'x,y,z'
loop_
_atom_site_label
_atom_site_type_symbol
_atom_site_fract_x
_atom_site_fract_y
_atom_site_fract_z
Hf1 Hf 0.000 0.000 0.000
Be1 Be 0.750 0.750 0.750
Zn1 Zn 0.500 0.500 0.500
Ni1 Ni 0.250 0.250 0.250
```

Summary:
V   13.36 Å³/atom


It turns out #2 is the most stable, with the second structure 0.119 eV/atom higher.


#1
Material: Hf2Be2O5
Method: DFT, PBE
State: optimized geometry

```
data_Hf2Be2O5
_chemical_formula_sum 'Hf2 Be2 O5'
_space_group_name_H-M_alt 'P 1'
_space_group_IT_number 1
_cell_length_a 3.682
_cell_length_b 3.682
_cell_length_c 8.062
_cell_angle_alpha 90.00
_cell_angle_beta 90.00
_cell_angle_gamma 90.00
loop_
_space_group_symop_operation_xyz
'x,y,z'
loop_
_atom_site_label
_atom_site_type_symbol
_atom_site_fract_x
_atom_site_fract_y
_atom_site_fract_z
Hf1 Hf 0.000 0.000 0.249
Hf2 Hf 0.000 0.000 0.751
Be1 Be 0.500 0.500 0.000
Be2 Be 0.500 0.500 0.500
O1 O 0.000 0.000 0.000
O2 O 0.000 0.500 0.350
O3 O 0.000 0.500 0.650
O4 O 0.500 0.000 0.350
O5 O 0.500 0.000 0.650
```

Summary:
V   12.14 Å³/atom


#2
Material: Hf2Be2O5
Method: DFT, PBE
State: optimized geometry

```
data_Hf2Be2O5
_chemical_formula_sum 'Hf2 Be2 O5'
_space_group_name_H-M_alt 'P 1'
_space_group_IT_number 1
_cell_length_a 3.419
_cell_length_b 3.419
_cell_length_c 6.588
_cell_angle_alpha 90.00
_cell_angle_beta 90.00
_cell_angle_gamma 90.00
loop_
_space_group_symop_operation_xyz
'x,y,z'
loop_
_atom_site_label
_atom_site_type_symbol
_atom_site_fract_x
_atom_site_fract_y
_atom_site_fract_z
Hf1 Hf 0.000 0.000 0.000
Hf2 Hf 0.000 0.000 0.500
Be1 Be 0.500 0.500 0.249
Be2 Be 0.500 0.500 0.751
O1 O 0.000 0.500 0.226
O2 O 0.000 0.500 0.774
O3 O 0.500 0.000 0.226
O4 O 0.500 0.000 0.774
O5 O 0.500 0.500 0.500
```

Summary:
V   8.56 Å³/atom


It turns out #2 is the most stable, with the second structure 0.324 eV/atom higher.